## Th2Zn2Tc2C (PBE)

Data for a relaxed Th2Zn2Tc2C crystal.

Properties
Total DFT energy (no corrections)   -7.002 eV/atom
Calculated density   10.04 g cm⁻³
Energy of formation   -161 kJ/mol of formula units
Volume   132.8 Å³ per cell
D(E_F)   5.185 states/eV/f.u.

Cell and atoms, written as CIF:
```
data_Th2Zn2Tc2C
_cell_length_a 5.8451
_cell_length_b 5.8451
_cell_length_c 7.4433
_cell_angle_alpha 121.69
_cell_angle_beta 121.69
_cell_angle_gamma 38.96
_space_group_name_H-M_alt 'P 1'
_space_group_IT_number 1
_space_group_name_Hall 'P 1'
loop_
_atom_site_label
_atom_site_fract_x
_atom_site_fract_y
_atom_site_fract_z
Th1 0.0708 0.0708 0.2875
Th2 0.9292 0.9292 0.7125
Zn1 0.3671 0.3671 0.3393
Zn2 0.6329 0.6329 0.6607
Tc1 0.2993 0.2993 0.9356
Tc2 0.7007 0.7007 0.0644
C1 0.5000 0.5000 0.0000
```